This record from Alexandria describes an optimized crystal structure of Ta2Fe. The functional is PBE.

Results
**E_tot**: -10.500 eV per atom
**Spin magnetization**: 0.00 Bohr magnetons per cell
**Density of states at the Fermi level**: 0.4894 states/eV/atom
**Energy of formation from the pure elements**: 0.2228 eV per atom
**Volume**: 17.51 A^3/atom

Cell lengths 4.204, 4.204, 4.204 Å; angles 60.00, 60.00, 60.00 degrees
Atoms (fractional coordinates):
Ta 0.750 0.750 0.750
Ta 0.250 0.250 0.250
Fe 0.000 0.000 0.000


This record from Alexandria describes an optimized crystal structure of BOsS3. The functional is PBE.

Results
**E_tot**: -4.679 eV per atom
**Spin magnetization**: 0.00 Bohr magnetons per cell
**Density of states at the Fermi level**: 1.2650 states/eV/atom
**Formation energy from raw total energies**: 1.38 eV per atom
**Offset from the most stable computed form**: 284 meV per atom
**Volume**: 19.72 A^3/atom

Cell lengths 4.620, 4.620, 4.620 Å; angles 90.00, 90.00, 90.00 degrees
Atoms (fractional coordinates):
S 0.500 0.000 0.000
S 0.000 0.000 0.500
S 0.000 0.500 0.000
B 0.500 0.500 0.500
Os 0.000 0.000 0.000


This record from Alexandria describes an optimized crystal structure of Na2TeAs2. The functional is PBE.

Results
**E_tot**: -3.005 eV per atom
**Spin magnetization**: 0.00 Bohr magnetons per cell
**Density of states at the Fermi level**: 0.7243 states/eV/atom
**Formation energy from raw total energies**: 0.01 eV per atom
**Offset from the most stable computed form**: 275 meV per atom
**Volume**: 26.51 A^3/atom

Cell lengths 4.927, 4.927, 6.477 Å; angles 67.64, 67.64, 90.00 degrees
Atoms (fractional coordinates):
Na 0.750 0.250 0.500
Na 0.250 0.750 0.500
Te 0.000 0.000 0.000
As 0.395 0.395 0.210
As 0.605 0.605 0.790


This record from Alexandria describes an optimized crystal structure of NdErTeI. The functional is PBE.

Results
**E_tot**: -4.480 eV per atom
**Spin magnetization**: 0.00 Bohr magnetons per cell
**Density of states at the Fermi level**: 0.9424 states/eV/atom
**Formation energy from raw total energies**: -0.97 eV per atom
**Volume**: 27.87 A^3/atom

Cell lengths 5.402, 5.402, 5.402 Å; angles 60.00, 60.00, 60.00 degrees
Atoms (fractional coordinates):
Nd 0.250 0.250 0.250
I 0.500 0.500 0.500
Te 0.000 0.000 0.000
Er 0.750 0.750 0.750


This record from Alexandria describes an optimized crystal structure of NaCuSiF6. The functional is PBE.

Results
**E_tot**: -5.041 eV per atom
**Spin magnetization**: 0.22 Bohr magnetons per cell
**Formation energy from raw total energies**: -2.59 eV per atom
**Volume**: 12.80 A^3/atom

Cell lengths 5.390, 5.390, 9.154 Å; angles 90.00, 90.00, 120.00 degrees
Each line ends with the local moment (μB).
Atoms (fractional coordinates):
F 0.331 0.927 0.642  0.00
F 0.669 0.073 0.358  0.00
F 0.927 0.596 0.358  0.00
F 0.404 0.331 0.358  0.00
F 0.073 0.404 0.642  0.00
F 0.596 0.927 0.858  0.00
F 0.073 0.669 0.858  0.00
F 0.404 0.073 0.142  0.00
F 0.331 0.404 0.858  0.00
F 0.596 0.669 0.642  0.00
F 0.927 0.331 0.142  0.00
F 0.669 0.596 0.142  0.00
Cu 0.667 0.333 0.750  0.10
Cu 0.333 0.667 0.250  0.10
Si 0.667 0.333 0.250  0.00
Si 0.333 0.667 0.750  0.00
Na 0.000 0.000 0.500  0.00
Na 0.000 0.000 0.000  0.00


This record from Alexandria describes an optimized crystal structure of Nd8Al2Ag. The functional is PBE.

Results
**E_tot**: -4.506 eV per atom
**Spin magnetization**: 0.00 Bohr magnetons per cell
**Density of states at the Fermi level**: 1.2189 states/eV/atom
**Energy of formation from the pure elements**: -0.0993 eV per atom
**Offset from the most stable computed form**: 46 meV per atom
**Volume**: 29.94 A^3/atom

Cell lengths 5.364, 7.264, 9.582 Å; angles 112.27, 106.26, 90.00 degrees
Atoms (fractional coordinates):
Nd 0.639 0.406 0.278
Nd 0.195 0.195 0.389
Nd 0.361 0.594 0.722
Nd 0.639 0.872 0.278
Nd 0.805 0.805 0.611
Nd 0.361 0.128 0.722
Nd 0.000 0.267 0.000
Nd 0.000 0.733 0.000
Ag 0.500 0.000 0.000
Al 0.814 0.314 0.628
Al 0.186 0.686 0.372


This record from Alexandria describes an optimized crystal structure of ZrSiHg3. The functional is PBE.

Results
**E_tot**: -2.329 eV per atom
**Spin magnetization**: 0.00 Bohr magnetons per cell
**Density of states at the Fermi level**: 0.8343 states/eV/atom
**Formation energy from raw total energies**: 0.65 eV per atom
**Offset from the most stable computed form**: 0 meV per atom
**Volume**: 24.40 A^3/atom

Cell lengths 4.960, 4.960, 4.960 Å; angles 90.00, 90.00, 90.00 degrees
Atoms (fractional coordinates):
Si 0.000 0.000 0.000
Hg 0.000 0.000 0.500
Hg 0.000 0.500 0.000
Hg 0.500 0.000 0.000
Zr 0.500 0.500 0.500


This record from Alexandria describes an optimized crystal structure of Pu5Pt2Au2. The functional is PBE.

Results
**E_tot**: -10.554 eV per atom
**Spin magnetization**: 58.01 Bohr magnetons per cell
**Density of states at the Fermi level**: 5.0361 states/eV/atom
**Energy of formation from the pure elements**: -0.5211 eV per atom
**Volume**: 24.94 A^3/atom

Cell lengths 7.713, 7.745, 8.454 Å; angles 117.26, 90.00, 90.00 degrees
Each line ends with the local moment (μB).
Atoms (fractional coordinates):
Au 0.000 0.791 0.582  0.06
Au 0.500 0.291 0.582  0.06
Au 0.000 0.209 0.418  0.06
Au 0.500 0.709 0.418  0.06
Pu 0.169 0.457 0.262  5.41
Pu 0.669 0.305 0.262  5.41
Pu 0.169 0.195 0.738  5.41
Pu 0.500 0.500 0.000  5.45
Pu 0.000 0.000 0.000  5.45
Pu 0.669 0.043 0.738  5.41
Pu 0.331 0.957 0.262  5.41
Pu 0.331 0.695 0.738  5.41
Pu 0.831 0.805 0.262  5.41
Pu 0.831 0.543 0.738  5.41
Pt 0.870 0.371 0.000  -0.07
Pt 0.130 0.629 0.000  -0.07
Pt 0.630 0.871 0.000  -0.07
Pt 0.370 0.129 0.000  -0.07


This record from Alexandria describes an optimized crystal structure of Cd3In12As5. The functional is PBE.

Results
**E_tot**: -2.899 eV per atom
**Spin magnetization**: 0.00 Bohr magnetons per cell
**Density of states at the Fermi level**: 0.4071 states/eV/atom
**Energy of formation from the pure elements**: 0.0439 eV per atom
**Volume**: 29.25 A^3/atom

Cell lengths 14.485, 14.485, 14.485 Å; angles 109.47, 109.47, 109.47 degrees
Atoms (fractional coordinates):
In 0.174 0.074 0.944
In 0.326 0.556 0.426
In 0.674 0.444 0.574
In 0.944 0.370 0.271
In 0.630 0.574 0.901
In 0.174 0.099 0.729
In 0.271 0.870 0.944
In 0.944 0.574 0.174
In 0.229 0.556 0.630
In 0.130 0.729 0.556
In 0.426 0.370 0.599
In 0.130 0.401 0.074
In 0.599 0.729 0.674
In 0.426 0.056 0.326
In 0.444 0.674 0.074
In 0.926 0.099 0.870
In 0.401 0.271 0.326
In 0.901 0.074 0.630
In 0.574 0.944 0.674
In 0.599 0.870 0.426
In 0.771 0.326 0.901
In 0.556 0.229 0.130
In 0.056 0.630 0.729
In 0.729 0.599 0.174
In 0.901 0.826 0.771
In 0.771 0.444 0.370
In 0.271 0.401 0.826
In 0.630 0.056 0.229
In 0.370 0.944 0.771
In 0.229 0.674 0.099
In 0.370 0.426 0.099
In 0.074 0.174 0.444
In 0.444 0.771 0.870
In 0.870 0.599 0.926
In 0.326 0.771 0.401
In 0.099 0.926 0.370
In 0.729 0.130 0.056
In 0.826 0.901 0.271
In 0.401 0.130 0.574
In 0.556 0.326 0.926
In 0.099 0.174 0.229
In 0.674 0.229 0.599
In 0.870 0.271 0.444
In 0.826 0.926 0.056
In 0.574 0.630 0.401
In 0.074 0.901 0.130
In 0.056 0.426 0.826
In 0.926 0.826 0.556
Cd 0.750 0.875 0.625
Cd 0.625 0.375 0.750
Cd 0.125 0.250 0.875
Cd 0.750 0.375 0.125
Cd 0.250 0.625 0.875
Cd 0.625 0.250 0.375
Cd 0.125 0.875 0.750
Cd 0.875 0.750 0.125
Cd 0.250 0.125 0.375
Cd 0.875 0.125 0.250
Cd 0.375 0.625 0.250
Cd 0.375 0.750 0.625
As 0.500 0.000 0.000
As 0.000 0.500 0.000
As 0.750 0.125 0.875
As 0.875 0.625 0.750
As 0.625 0.750 0.875
As 0.125 0.375 0.250
As 0.500 0.500 0.000
As 0.375 0.125 0.750
As 0.125 0.750 0.375
As 0.750 0.625 0.375
As 0.375 0.250 0.125
As 0.000 0.000 0.000
As 0.250 0.875 0.125
As 0.625 0.875 0.250
As 0.000 0.500 0.500
As 0.875 0.250 0.625
As 0.250 0.375 0.625
As 0.500 0.500 0.500
As 0.500 0.000 0.500
As 0.000 0.000 0.500


This record from Alexandria describes an optimized crystal structure of SN. The functional is PBE.

Results
**E_tot**: -4.952 eV per atom
**Spin magnetization**: 0.00 Bohr magnetons per cell
**Density of states at the Fermi level**: 0.3173 states/eV/atom
**Formation energy from raw total energies**: 1.27 eV per atom
**Volume**: 14.56 A^3/atom

Cell lengths 3.640, 3.640, 4.397 Å; angles 90.00, 90.00, 90.00 degrees
Atoms (fractional coordinates):
N 0.500 0.500 0.000
N 0.000 0.000 0.000
S 0.500 0.000 0.147
S 0.000 0.500 0.853


This record from Alexandria describes an optimized crystal structure of MnGaCoSe2. The functional is PBE.

Results
**E_tot**: -5.396 eV per atom
**Spin magnetization**: 0.15 Bohr magnetons per cell
**Density of states at the Fermi level**: 0.2413 states/eV/atom
**Formation energy from raw total energies**: -0.14 eV per atom
**Offset from the most stable computed form**: 59 meV per atom
**Volume**: 19.16 A^3/atom

Cell lengths 3.823, 3.804, 7.105 Å; angles 74.61, 74.64, 90.00 degrees
Each line ends with the local moment (μB).
Atoms (fractional coordinates):
Co 0.773 0.029 0.563  -0.33
Se 0.873 0.630 0.360  -0.02
Se 0.173 0.928 0.767  -0.02
Ga 0.474 0.231 0.154  0.00
Mn 0.274 0.530 0.562  0.52


This record from Alexandria describes an optimized crystal structure of LiUBr4. The functional is PBE.

Results
**E_tot**: -4.646 eV per atom
**Spin magnetization**: 6.00 Bohr magnetons per cell
**Density of states at the Fermi level**: 0.3886 states/eV/atom
**Formation energy from raw total energies**: -1.33 eV per atom
**Offset from the most stable computed form**: 0 meV per atom
**Volume**: 35.10 A^3/atom

Cell lengths 4.173, 7.174, 14.165 Å; angles 96.55, 90.00, 90.00 degrees
Each line ends with the local moment (μB).
Atoms (fractional coordinates):
Br 0.001 0.365 0.105  -0.02
Br 0.000 0.142 0.381  -0.02
Br 0.999 0.635 0.895  -0.02
Br 0.501 0.635 0.395  -0.02
Br 0.000 0.858 0.619  -0.02
Br 0.500 0.858 0.119  -0.02
Br 0.500 0.142 0.881  -0.02
Br 0.499 0.365 0.605  -0.02
Li 0.000 0.500 0.500  0.00
Li 0.500 0.500 0.000  0.00
U 0.500 0.000 0.500  2.88
U 0.000 0.000 0.000  2.88


Q: Which of these has the lowest volume?
A: NaCuSiF6


Q: The highest E_tot belongs to which entry?
A: ZrSiHg3